No. 1
# Pm6Y8Mg

A relaxed structure of Pm6Y8Mg (PBE, Alexandria via LeMat-Bulk).

The value obtained for the total magnetization is 0.000 μB per atom. The energy relative to the elements is 0.12 eV per atom. Its crystal system is trigonal.

It has space group P-3 (No. 147), with a = 9.5815 Å, b = 9.5815 Å, c = 6.2766 Å, α = 90.00°, β = 90.00° and γ = 120.00°. The inequivalent atoms are Pm at (0.0899, 0.6361, 0.1902), Y at (0.0378, 0.7737, 0.6929), Y at (0.3333, 0.6667, 0.6794) and Mg at (0.0000, 0.0000, 0.0000).

No. 2
# AlZnCdAu2

A relaxed structure of AlZnCdAu2 (PBE, Alexandria via LeMat-Bulk).

The value obtained for the total magnetization is 0.000 μB per atom. The energy relative to the elements is -0.24 eV per atom. Its crystal system is trigonal.

It has space group P3m1 (No. 156), with a = 4.5943 Å, b = 4.5943 Å, c = 5.3332 Å, α = 90.00°, β = 90.00° and γ = 120.00°. The inequivalent atoms are Al at (0.0000, 0.0000, 0.0000), Zn at (0.6667, 0.3333, 0.3390), Cd at (0.3333, 0.6667, 0.6669), Au at (0.0000, 0.0000, 0.4740) and Au at (0.6667, 0.3333, 0.8609).

No. 3
# Dy3Er6Zr

A relaxed structure of Dy3Er6Zr (PBE, Alexandria via LeMat-Bulk).

The value obtained for the total magnetization is 0.000 μB per atom. The energy relative to the elements is 0.21 eV per atom. Its polymorph energy (0 for the lowest one) is 59 meV per atom. Its crystal system is orthorhombic.

It has space group Pbam (No. 55), with a = 11.312 Å, b = 11.329 Å, c = 4.886 Å, α = 90.00°, β = 90.00° and γ = 90.00°. The inequivalent atoms are Dy at (0.000, 0.000, 0.000), Dy at (0.148, 0.352, 0.000), Er at (0.000, 0.215, 0.500), Er at (0.147, 0.647, 0.000), Er at (0.215, 0.000, 0.500) and Zr at (0.000, 0.500, 0.500).

No. 4
# Sr2Mg6AlIn

A relaxed structure of Sr2Mg6AlIn (PBE, Alexandria via LeMat-Bulk).

The value obtained for the total magnetization is 0.000 μB per atom. The energy relative to the elements is 0.00 eV per atom. Its crystal system is orthorhombic.

It has space group Pmmn (No. 59, origin choice 2), with a = 8.138 Å, b = 9.937 Å, c = 7.453 Å, α = 90.00°, β = 90.00° and γ = 90.00°. The inequivalent atoms are Sr at (0.250, 0.019, 0.226), Mg at (0.063, 0.250, 0.881), Mg at (0.072, 0.750, 0.542), Mg at (0.250, 0.001, 0.720), Al at (0.250, 0.250, 0.543) and In at (0.250, 0.750, 0.923).